# GGA+U BaCr2GeO8, optimized geometry
data_BaCr2GeO8
_chemical_formula_sum 'Ba1 Cr2 Ge1 O8'
_symmetry_space_group_name_H-M 'P -3'
_symmetry_Int_Tables_number 147
_symmetry_space_group_name_Hall '-P 3'
_cell_length_a 5.2233
_cell_length_b 5.2233
_cell_length_c 7.4268
_cell_angle_alpha 90.00
_cell_angle_beta 90.00
_cell_angle_gamma 120.00
loop_
_atom_site_label
_atom_site_fract_x
_atom_site_fract_y
_atom_site_fract_z
Ba1 0.0000 0.0000 0.0000
Cr1 0.3333 0.6667 0.7198
Ge1 0.0000 0.0000 0.5000
O1 0.0564 0.3135 0.6561
O2 0.3333 0.6667 0.9458
# E = -6.725 eV per atom
# size of the total moment = 0.167 μB/atom